one:
# Cs3SbTe | the Alexandria database | PBE | relaxed
# **Crystal system**: triclinic
data_Cs3SbTe
_symmetry_space_group_name_H-M 'P 1'
_symmetry_Int_Tables_number 1
_symmetry_space_group_name_Hall 'P 1'
_cell_length_a 5.153
_cell_length_b 10.177
_cell_length_c 11.249
_cell_angle_alpha 81.87
_cell_angle_beta 89.99
_cell_angle_gamma 75.37
loop_
_atom_site_label
_atom_site_type_symbol
_atom_site_fract_x
_atom_site_fract_y
_atom_site_fract_z
Cs1 Cs 0.000 0.000 0.000
Cs2 Cs 0.116 0.767 0.296
Cs3 Cs 0.293 0.412 0.985
Cs4 Cs 0.457 0.079 0.558
Cs5 Cs 0.655 0.687 0.738
Cs6 Cs 0.822 0.355 0.311
Sb1 Sb 0.273 0.450 0.613
Sb2 Sb 0.840 0.316 0.682
Te1 Te 0.453 0.092 0.236
Te2 Te 0.662 0.675 0.060



two:
# Cs3SbTe | the Alexandria database | PBE | relaxed
# **Crystal system**: cubic
data_Cs3SbTe
_symmetry_space_group_name_H-M 'P m -3 m'
_symmetry_Int_Tables_number 221
_symmetry_space_group_name_Hall '-P 4 2 3'
_cell_length_a 7.308
_cell_length_b 7.308
_cell_length_c 7.308
_cell_angle_alpha 90.00
_cell_angle_beta 90.00
_cell_angle_gamma 90.00
loop_
_atom_site_label
_atom_site_type_symbol
_atom_site_fract_x
_atom_site_fract_y
_atom_site_fract_z
Cs1 Cs 0.000 0.000 0.500
Sb1 Sb 0.500 0.500 0.500
Te1 Te 0.000 0.000 0.000



Most stable: one



one:
# CsSbTe | the Alexandria database | PBE | relaxed
# **Crystal system**: orthorhombic
data_CsSbTe
_symmetry_space_group_name_H-M 'P n m a'
_symmetry_Int_Tables_number 62
_symmetry_space_group_name_Hall '-P 2ac 2n'
_cell_length_a 8.803
_cell_length_b 6.266
_cell_length_c 9.918
_cell_angle_alpha 90.00
_cell_angle_beta 90.00
_cell_angle_gamma 90.00
loop_
_atom_site_label
_atom_site_type_symbol
_atom_site_fract_x
_atom_site_fract_y
_atom_site_fract_z
Cs1 Cs 0.006 0.250 0.176
Sb1 Sb 0.172 0.250 0.615
Te1 Te 0.182 0.750 0.363



two:
# CsSbTe | the Alexandria database | PBE | relaxed
# **Crystal system**: orthorhombic
data_CsSbTe
_symmetry_space_group_name_H-M 'I m m m'
_symmetry_Int_Tables_number 71
_symmetry_space_group_name_Hall '-I 2 2'
_cell_length_a 5.479
_cell_length_b 9.780
_cell_length_c 10.806
_cell_angle_alpha 90.00
_cell_angle_beta 90.00
_cell_angle_gamma 90.00
loop_
_atom_site_label
_atom_site_type_symbol
_atom_site_fract_x
_atom_site_fract_y
_atom_site_fract_z
Cs1 Cs 0.000 0.000 0.223
Sb1 Sb 0.000 0.354 0.000
Te1 Te 0.000 0.261 0.500



Most stable: two



one:
# Cs2SbTe2 | the Alexandria database | PBE | relaxed
# **Crystal system**: orthorhombic
data_Cs2SbTe2
_symmetry_space_group_name_H-M 'C m c 21'
_symmetry_Int_Tables_number 36
_symmetry_space_group_name_Hall 'C 2c -2'
_cell_length_a 4.553
_cell_length_b 14.180
_cell_length_c 14.709
_cell_angle_alpha 90.00
_cell_angle_beta 90.00
_cell_angle_gamma 90.00
loop_
_atom_site_label
_atom_site_type_symbol
_atom_site_fract_x
_atom_site_fract_y
_atom_site_fract_z
Cs1 Cs 0.000 0.068 0.000
Cs2 Cs 0.000 0.316 0.207
Sb1 Sb 0.000 0.369 0.864
Te1 Te 0.000 0.037 0.257
Te2 Te 0.000 0.212 0.483



two:
# Cs2SbTe2 | the Alexandria database | PBE | relaxed
# **Crystal system**: tetragonal
data_Cs2SbTe2
_symmetry_space_group_name_H-M 'P 4/m b m'
_symmetry_Int_Tables_number 127
_symmetry_space_group_name_Hall '-P 4 2ab'
_cell_length_a 8.526
_cell_length_b 8.526
_cell_length_c 5.900
_cell_angle_alpha 90.00
_cell_angle_beta 90.00
_cell_angle_gamma 90.00
loop_
_atom_site_label
_atom_site_type_symbol
_atom_site_fract_x
_atom_site_fract_y
_atom_site_fract_z
Cs1 Cs 0.152 0.348 0.000
Sb1 Sb 0.000 0.000 0.500
Te1 Te 0.169 0.669 0.500



Most stable: one



one:
# CsTiSbTe2 | the Alexandria database | PBE | relaxed
# **Crystal system**: tetragonal
data_CsTiSbTe2
_symmetry_space_group_name_H-M 'P 4/m m m'
_symmetry_Int_Tables_number 123
_symmetry_space_group_name_Hall '-P 4 2'
_cell_length_a 6.216
_cell_length_b 6.216
_cell_length_c 6.091
_cell_angle_alpha 90.00
_cell_angle_beta 90.00
_cell_angle_gamma 90.00
loop_
_atom_site_label
_atom_site_type_symbol
_atom_site_fract_x
_atom_site_fract_y
_atom_site_fract_z
Cs1 Cs 0.000 0.000 0.000
Ti1 Ti 0.500 0.500 0.500
Sb1 Sb 0.000 0.000 0.500
Te1 Te 0.000 0.500 0.000



two:
# CsTiSbTe2 | the Alexandria database | PBE | relaxed
# **Crystal system**: tetragonal
data_CsTiSbTe2
_symmetry_space_group_name_H-M 'P 4/m m m'
_symmetry_Int_Tables_number 123
_symmetry_space_group_name_Hall '-P 4 2'
_cell_length_a 5.560
_cell_length_b 5.560
_cell_length_c 5.422
_cell_angle_alpha 90.00
_cell_angle_beta 90.00
_cell_angle_gamma 90.00
loop_
_atom_site_label
_atom_site_type_symbol
_atom_site_fract_x
_atom_site_fract_y
_atom_site_fract_z
Cs1 Cs 0.000 0.000 0.000
Ti1 Ti 0.500 0.500 0.500
Sb1 Sb 0.500 0.500 0.000
Te1 Te 0.000 0.500 0.500



Most stable: two



one:
# CsTlSbTe2 | the Alexandria database | PBE | relaxed
# **Crystal system**: tetragonal
data_CsTlSbTe2
_symmetry_space_group_name_H-M 'P 4/m m m'
_symmetry_Int_Tables_number 123
_symmetry_space_group_name_Hall '-P 4 2'
_cell_length_a 6.073
_cell_length_b 6.073
_cell_length_c 5.805
_cell_angle_alpha 90.00
_cell_angle_beta 90.00
_cell_angle_gamma 90.00
loop_
_atom_site_label
_atom_site_type_symbol
_atom_site_fract_x
_atom_site_fract_y
_atom_site_fract_z
Cs1 Cs 0.000 0.000 0.000
Tl1 Tl 0.500 0.500 0.500
Sb1 Sb 0.500 0.500 0.000
Te1 Te 0.000 0.500 0.500



two:
# CsTlSbTe2 | the Alexandria database | PBE | relaxed
# **Crystal system**: tetragonal
data_CsTlSbTe2
_symmetry_space_group_name_H-M 'P 4/m m m'
_symmetry_Int_Tables_number 123
_symmetry_space_group_name_Hall '-P 4 2'
_cell_length_a 6.597
_cell_length_b 6.597
_cell_length_c 6.391
_cell_angle_alpha 90.00
_cell_angle_beta 90.00
_cell_angle_gamma 90.00
loop_
_atom_site_label
_atom_site_type_symbol
_atom_site_fract_x
_atom_site_fract_y
_atom_site_fract_z
Cs1 Cs 0.000 0.000 0.000
Tl1 Tl 0.500 0.500 0.500
Sb1 Sb 0.000 0.000 0.500
Te1 Te 0.000 0.500 0.000



Most stable: one



one:
# CsSb2TeW | the Alexandria database | PBE | relaxed
# **Crystal system**: tetragonal
data_CsSb2TeW
_symmetry_space_group_name_H-M 'P 4/m m m'
_symmetry_Int_Tables_number 123
_symmetry_space_group_name_Hall '-P 4 2'
_cell_length_a 6.035
_cell_length_b 6.035
_cell_length_c 5.859
_cell_angle_alpha 90.00
_cell_angle_beta 90.00
_cell_angle_gamma 90.00
loop_
_atom_site_label
_atom_site_type_symbol
_atom_site_fract_x
_atom_site_fract_y
_atom_site_fract_z
Cs1 Cs 0.000 0.000 0.000
Sb1 Sb 0.000 0.500 0.000
Te1 Te 0.000 0.000 0.500
W1 W 0.500 0.500 0.500



two:
# CsSb2TeW | the Alexandria database | PBE | relaxed
# **Crystal system**: tetragonal
data_CsSb2TeW
_symmetry_space_group_name_H-M 'P 4/m m m'
_symmetry_Int_Tables_number 123
_symmetry_space_group_name_Hall '-P 4 2'
_cell_length_a 5.350
_cell_length_b 5.350
_cell_length_c 5.689
_cell_angle_alpha 90.00
_cell_angle_beta 90.00
_cell_angle_gamma 90.00
loop_
_atom_site_label
_atom_site_type_symbol
_atom_site_fract_x
_atom_site_fract_y
_atom_site_fract_z
Cs1 Cs 0.000 0.000 0.000
Sb1 Sb 0.000 0.500 0.500
Te1 Te 0.500 0.500 0.000
W1 W 0.500 0.500 0.500



Most stable: two



one:
# CsYSbTe2 | the Alexandria database | PBE | relaxed
# **Crystal system**: tetragonal
data_CsYSbTe2
_symmetry_space_group_name_H-M 'P 4/m m m'
_symmetry_Int_Tables_number 123
_symmetry_space_group_name_Hall '-P 4 2'
_cell_length_a 6.115
_cell_length_b 6.115
_cell_length_c 5.996
_cell_angle_alpha 90.00
_cell_angle_beta 90.00
_cell_angle_gamma 90.00
loop_
_atom_site_label
_atom_site_type_symbol
_atom_site_fract_x
_atom_site_fract_y
_atom_site_fract_z
Cs1 Cs 0.000 0.000 0.000
Y1 Y 0.500 0.500 0.500
Sb1 Sb 0.000 0.000 0.500
Te1 Te 0.000 0.500 0.000



two:
# CsYSbTe2 | the Alexandria database | PBE | relaxed
# **Crystal system**: tetragonal
data_CsYSbTe2
_symmetry_space_group_name_H-M 'P 4/m m m'
_symmetry_Int_Tables_number 123
_symmetry_space_group_name_Hall '-P 4 2'
_cell_length_a 5.990
_cell_length_b 5.990
_cell_length_c 5.946
_cell_angle_alpha 90.00
_cell_angle_beta 90.00
_cell_angle_gamma 90.00
loop_
_atom_site_label
_atom_site_type_symbol
_atom_site_fract_x
_atom_site_fract_y
_atom_site_fract_z
Cs1 Cs 0.000 0.000 0.000
Y1 Y 0.500 0.500 0.500
Sb1 Sb 0.500 0.500 0.000
Te1 Te 0.000 0.500 0.500



Most stable: two



one:
# CsZnSb2Te | the Alexandria database | PBE | relaxed
# **Crystal system**: tetragonal
data_CsZnSb2Te
_symmetry_space_group_name_H-M 'P 4/m m m'
_symmetry_Int_Tables_number 123
_symmetry_space_group_name_Hall '-P 4 2'
_cell_length_a 7.326
_cell_length_b 7.326
_cell_length_c 7.519
_cell_angle_alpha 90.00
_cell_angle_beta 90.00
_cell_angle_gamma 90.00
loop_
_atom_site_label
_atom_site_type_symbol
_atom_site_fract_x
_atom_site_fract_y
_atom_site_fract_z
Cs1 Cs 0.000 0.000 0.000
Zn1 Zn 0.500 0.500 0.500
Sb1 Sb 0.000 0.500 0.000
Te1 Te 0.000 0.000 0.500



two:
# CsZnSb2Te | the Alexandria database | PBE | relaxed
# **Crystal system**: tetragonal
data_CsZnSb2Te
_symmetry_space_group_name_H-M 'P 4/m m m'
_symmetry_Int_Tables_number 123
_symmetry_space_group_name_Hall '-P 4 2'
_cell_length_a 5.415
_cell_length_b 5.415
_cell_length_c 5.798
_cell_angle_alpha 90.00
_cell_angle_beta 90.00
_cell_angle_gamma 90.00
loop_
_atom_site_label
_atom_site_type_symbol
_atom_site_fract_x
_atom_site_fract_y
_atom_site_fract_z
Cs1 Cs 0.000 0.000 0.000
Zn1 Zn 0.500 0.500 0.500
Sb1 Sb 0.000 0.500 0.500
Te1 Te 0.500 0.500 0.000



Most stable: two



one:
# CsZrSbTe2 | the Alexandria database | PBE | relaxed
# **Crystal system**: tetragonal
data_CsZrSbTe2
_symmetry_space_group_name_H-M 'P 4/m m m'
_symmetry_Int_Tables_number 123
_symmetry_space_group_name_Hall '-P 4 2'
_cell_length_a 6.080
_cell_length_b 6.080
_cell_length_c 5.990
_cell_angle_alpha 90.00
_cell_angle_beta 90.00
_cell_angle_gamma 90.00
loop_
_atom_site_label
_atom_site_type_symbol
_atom_site_fract_x
_atom_site_fract_y
_atom_site_fract_z
Cs1 Cs 0.000 0.000 0.000
Zr1 Zr 0.500 0.500 0.500
Sb1 Sb 0.000 0.000 0.500
Te1 Te 0.000 0.500 0.000



two:
# CsZrSbTe2 | the Alexandria database | PBE | relaxed
# **Crystal system**: tetragonal
data_CsZrSbTe2
_symmetry_space_group_name_H-M 'P 4/m m m'
_symmetry_Int_Tables_number 123
_symmetry_space_group_name_Hall '-P 4 2'
_cell_length_a 5.758
_cell_length_b 5.758
_cell_length_c 5.680
_cell_angle_alpha 90.00
_cell_angle_beta 90.00
_cell_angle_gamma 90.00
loop_
_atom_site_label
_atom_site_type_symbol
_atom_site_fract_x
_atom_site_fract_y
_atom_site_fract_z
Cs1 Cs 0.000 0.000 0.000
Zr1 Zr 0.500 0.500 0.500
Sb1 Sb 0.500 0.500 0.000
Te1 Te 0.000 0.500 0.500



Most stable: two



one:
# CsThSb2 | the Alexandria database | PBE | relaxed
# **Crystal system**: tetragonal
data_CsThSb2
_symmetry_space_group_name_H-M 'P 4/m m m'
_symmetry_Int_Tables_number 123
_symmetry_space_group_name_Hall '-P 4 2'
_cell_length_a 4.224
_cell_length_b 4.224
_cell_length_c 8.345
_cell_angle_alpha 90.00
_cell_angle_beta 90.00
_cell_angle_gamma 90.00
loop_
_atom_site_label
_atom_site_type_symbol
_atom_site_fract_x
_atom_site_fract_y
_atom_site_fract_z
Cs1 Cs 0.000 0.000 0.000
Th1 Th 0.000 0.000 0.500
Sb1 Sb 0.500 0.500 0.322



two:
# CsThSb2 | the Alexandria database | PBE | relaxed
# **Crystal system**: trigonal
data_CsThSb2
_symmetry_space_group_name_H-M 'R -3 m'
_symmetry_Int_Tables_number 166
_symmetry_space_group_name_Hall '-R 3 2"'
_cell_length_a 4.7100
_cell_length_b 4.7100
_cell_length_c 26.9033
_cell_angle_alpha 90.00
_cell_angle_beta 90.00
_cell_angle_gamma 120.00
loop_
_atom_site_label
_atom_site_type_symbol
_atom_site_fract_x
_atom_site_fract_y
_atom_site_fract_z
Cs1 Cs 0.0000 0.0000 0.0000
Th1 Th 0.0000 0.0000 0.5000
Sb1 Sb 0.0000 0.0000 0.2283



Most stable: one



one:
# CsTiSb3 | the Alexandria database | PBE | relaxed
# **Crystal system**: cubic
data_CsTiSb3
_symmetry_space_group_name_H-M 'P m -3 m'
_symmetry_Int_Tables_number 221
_symmetry_space_group_name_Hall '-P 4 2 3'
_cell_length_a 5.959
_cell_length_b 5.959
_cell_length_c 5.959
_cell_angle_alpha 90.00
_cell_angle_beta 90.00
_cell_angle_gamma 90.00
loop_
_atom_site_label
_atom_site_type_symbol
_atom_site_fract_x
_atom_site_fract_y
_atom_site_fract_z
Cs1 Cs 0.000 0.000 0.000
Ti1 Ti 0.500 0.500 0.500
Sb1 Sb 0.000 0.000 0.500



two:
# CsTiSb3 | the Alexandria database | PBE | relaxed
# **Crystal system**: cubic
data_CsTiSb3
_symmetry_space_group_name_H-M 'P m -3 m'
_symmetry_Int_Tables_number 221
_symmetry_space_group_name_Hall '-P 4 2 3'
_cell_length_a 5.443
_cell_length_b 5.443
_cell_length_c 5.443
_cell_angle_alpha 90.00
_cell_angle_beta 90.00
_cell_angle_gamma 90.00
loop_
_atom_site_label
_atom_site_type_symbol
_atom_site_fract_x
_atom_site_fract_y
_atom_site_fract_z
Cs1 Cs 0.000 0.000 0.000
Ti1 Ti 0.500 0.500 0.500
Sb1 Sb 0.000 0.500 0.500



Most stable: two



one:
# Cs2TiSb2 | the Alexandria database | PBE | relaxed
# **Crystal system**: tetragonal
data_Cs2TiSb2
_symmetry_space_group_name_H-M 'P 4/m b m'
_symmetry_Int_Tables_number 127
_symmetry_space_group_name_Hall '-P 4 2ab'
_cell_length_a 10.984
_cell_length_b 10.984
_cell_length_c 3.372
_cell_angle_alpha 90.00
_cell_angle_beta 90.00
_cell_angle_gamma 90.00
loop_
_atom_site_label
_atom_site_type_symbol
_atom_site_fract_x
_atom_site_fract_y
_atom_site_fract_z
Cs1 Cs 0.116 0.384 0.000
Ti1 Ti 0.000 0.000 0.000
Sb1 Sb 0.183 0.683 0.500



two:
# Cs2TiSb2 | the Alexandria database | PBE | relaxed
# **Crystal system**: tetragonal
data_Cs2TiSb2
_symmetry_space_group_name_H-M 'I 4/m m m'
_symmetry_Int_Tables_number 139
_symmetry_space_group_name_Hall '-I 4 2'
_cell_length_a 4.244
_cell_length_b 4.244
_cell_length_c 25.690
_cell_angle_alpha 90.00
_cell_angle_beta 90.00
_cell_angle_gamma 90.00
loop_
_atom_site_label
_atom_site_type_symbol
_atom_site_fract_x
_atom_site_fract_y
_atom_site_fract_z
Cs1 Cs 0.000 0.000 0.119
Ti1 Ti 0.000 0.000 0.500
Sb1 Sb 0.000 0.500 0.250



three:
# Cs2TiSb2 | the Alexandria database | PBE | relaxed
# **Crystal system**: tetragonal
data_Cs2TiSb2
_symmetry_space_group_name_H-M 'P 4/m b m'
_symmetry_Int_Tables_number 127
_symmetry_space_group_name_Hall '-P 4 2ab'
_cell_length_a 7.549
_cell_length_b 7.549
_cell_length_c 6.500
_cell_angle_alpha 90.00
_cell_angle_beta 90.00
_cell_angle_gamma 90.00
loop_
_atom_site_label
_atom_site_type_symbol
_atom_site_fract_x
_atom_site_fract_y
_atom_site_fract_z
Cs1 Cs 0.172 0.328 0.000
Ti1 Ti 0.000 0.000 0.500
Sb1 Sb 0.142 0.642 0.500



Most stable: three